! Cr4CdCo3O12 GGA+U relaxed; values from VASP
! Raw total energy = -6.66 eV per atom
&SYSTEM
  ibrav = 0, nat = 20, ntyp = 4
/
ATOMIC_SPECIES
Cr 52.00 Cr.upf
Cd 112.41 Cd.upf
Co 58.93 Co.upf
O 16.00 O.upf
ATOMIC_POSITIONS crystal
Cr 0.000 0.000 0.500
Cr 0.000 0.500 0.000
Cr 0.500 0.000 0.000
Cr 0.500 0.500 0.500
Cd 0.000 0.000 0.000
Co 0.000 0.500 0.500
Co 0.500 0.000 0.500
Co 0.500 0.500 0.000
O 0.140 0.827 0.313
O 0.173 0.313 0.487
O 0.173 0.687 0.860
O 0.313 0.140 0.827
O 0.313 0.487 0.173
O 0.487 0.173 0.313
O 0.513 0.827 0.687
O 0.687 0.513 0.827
O 0.687 0.860 0.173
O 0.827 0.313 0.140
O 0.827 0.687 0.513
O 0.860 0.173 0.687
CELL_PARAMETERS angstrom
-3.703 3.703 3.703
3.703 -3.703 3.703
3.703 3.703 -3.703